(1)
The following is a GGA-PBE calculation of La7TbTm2 after structural relaxation, from Alexandria.

a = 10.5100 Å, b = 10.5100 Å, c = 3.5299 Å
α = 90.00°, β = 90.00°, γ = 108.88°
Closest atoms and distances in Å follow each position.
Element x y z (fractional)
La 0.0000 0.0000 0.0000  10 La 3.53-3.73
La 0.1145 0.3753 0.0000  1 Tm 3.17, 2 La 3.53
La 0.1803 0.8197 0.5000  2 Tm 3.19, 4 La 3.53-3.55
La 0.3753 0.1145 0.0000  1 Tm 3.17, 2 La 3.53
La 0.6247 0.8855 0.0000  1 Tm 3.17, 2 La 3.53
La 0.8197 0.1803 0.5000  2 Tm 3.19, 4 La 3.53-3.55
La 0.8855 0.6247 0.0000  1 Tm 3.17, 2 La 3.53
Tb 0.5000 0.5000 0.5000  4 Tm 3.31, 2 Tb 3.53
Tm 0.3361 0.6639 0.0000  4 La 3.17-3.19, 2 Tb 3.31, 2 Tm 3.53
Tm 0.6639 0.3361 0.0000  4 La 3.17-3.19, 2 Tb 3.31, 2 Tm 3.53

Energy relative to the lowest polymorph listed for this composition (eV per formula unit): 0.000

(2)
The following is a GGA-PBE calculation of La2Tb3Tm4 after structural relaxation, from Alexandria.

a = 10.0865 Å, b = 10.0865 Å, c = 6.1104 Å
α = 95.67°, β = 95.67°, γ = 70.38°
Closest atoms and distances in Å follow each position.
Element x y z (fractional)
La 0.0180 0.7340 0.6791  4 Tm 3.34-3.62, 4 Tb 3.48-3.54
La 0.2660 0.9820 0.8209  4 Tm 3.34-3.62, 4 Tb 3.48-3.54
La 0.7340 0.0180 0.1791  4 Tm 3.34-3.62, 4 Tb 3.48-3.54
La 0.9820 0.2660 0.3209  4 Tm 3.34-3.62, 4 Tb 3.48-3.54
Tb 0.1044 0.8956 0.2500  4 Tm 3.49-3.66, 6 La 3.52-3.85, 2 Tb 3.90
Tb 0.2363 0.4378 0.3952  7 Tm 3.34-3.66, 2 La 3.48-3.52
Tb 0.4378 0.2363 0.8952  7 Tm 3.34-3.66, 2 La 3.48-3.52
Tb 0.5622 0.7637 0.1048  7 Tm 3.34-3.66, 2 La 3.48-3.52
Tb 0.7637 0.5622 0.6048  7 Tm 3.34-3.66, 2 La 3.48-3.52
Tb 0.8956 0.1044 0.7500  4 Tm 3.49-3.66, 6 La 3.52-3.85, 2 Tb 3.90
Tm 0.0856 0.3590 0.8488  1 Tm 3.28, 5 Tb 3.34-3.66, 3 La 3.43-3.62
Tm 0.3181 0.5877 0.9807  1 La 3.34, 4 Tb 3.34-3.49, 3 Tm 3.38-3.49
Tm 0.3590 0.0856 0.3488  1 Tm 3.28, 5 Tb 3.34-3.66, 3 La 3.43-3.62
Tm 0.4123 0.6819 0.5193  1 La 3.34, 4 Tb 3.34-3.49, 3 Tm 3.38-3.49
Tm 0.5877 0.3181 0.4807  1 La 3.34, 4 Tb 3.34-3.49, 3 Tm 3.38-3.49
Tm 0.6410 0.9144 0.6512  1 Tm 3.28, 5 Tb 3.34-3.66, 3 La 3.43-3.62
Tm 0.6819 0.4123 0.0193  1 La 3.34, 4 Tb 3.34-3.49, 3 Tm 3.38-3.49
Tm 0.9144 0.6410 0.1512  1 Tm 3.28, 5 Tb 3.34-3.66, 3 La 3.43-3.62

Energy relative to the lowest polymorph listed for this composition (eV per formula unit): 0.000

Copy entry 2 word for word.
The following is a GGA-PBE calculation of La2Tb3Tm4 after structural relaxation, from Alexandria.

a = 10.0865 Å, b = 10.0865 Å, c = 6.1104 Å
α = 95.67°, β = 95.67°, γ = 70.38°
Closest atoms and distances in Å follow each position.
Element x y z (fractional)
La 0.0180 0.7340 0.6791  4 Tm 3.34-3.62, 4 Tb 3.48-3.54
La 0.2660 0.9820 0.8209  4 Tm 3.34-3.62, 4 Tb 3.48-3.54
La 0.7340 0.0180 0.1791  4 Tm 3.34-3.62, 4 Tb 3.48-3.54
La 0.9820 0.2660 0.3209  4 Tm 3.34-3.62, 4 Tb 3.48-3.54
Tb 0.1044 0.8956 0.2500  4 Tm 3.49-3.66, 6 La 3.52-3.85, 2 Tb 3.90
Tb 0.2363 0.4378 0.3952  7 Tm 3.34-3.66, 2 La 3.48-3.52
Tb 0.4378 0.2363 0.8952  7 Tm 3.34-3.66, 2 La 3.48-3.52
Tb 0.5622 0.7637 0.1048  7 Tm 3.34-3.66, 2 La 3.48-3.52
Tb 0.7637 0.5622 0.6048  7 Tm 3.34-3.66, 2 La 3.48-3.52
Tb 0.8956 0.1044 0.7500  4 Tm 3.49-3.66, 6 La 3.52-3.85, 2 Tb 3.90
Tm 0.0856 0.3590 0.8488  1 Tm 3.28, 5 Tb 3.34-3.66, 3 La 3.43-3.62
Tm 0.3181 0.5877 0.9807  1 La 3.34, 4 Tb 3.34-3.49, 3 Tm 3.38-3.49
Tm 0.3590 0.0856 0.3488  1 Tm 3.28, 5 Tb 3.34-3.66, 3 La 3.43-3.62
Tm 0.4123 0.6819 0.5193  1 La 3.34, 4 Tb 3.34-3.49, 3 Tm 3.38-3.49
Tm 0.5877 0.3181 0.4807  1 La 3.34, 4 Tb 3.34-3.49, 3 Tm 3.38-3.49
Tm 0.6410 0.9144 0.6512  1 Tm 3.28, 5 Tb 3.34-3.66, 3 La 3.43-3.62
Tm 0.6819 0.4123 0.0193  1 La 3.34, 4 Tb 3.34-3.49, 3 Tm 3.38-3.49
Tm 0.9144 0.6410 0.1512  1 Tm 3.28, 5 Tb 3.34-3.66, 3 La 3.43-3.62

Energy relative to the lowest polymorph listed for this composition (eV per formula unit): 0.000